Entry 1:
Entry from OQMD: a relaxed structure of Pr2Sc2CBrCl4 (GGA-PBE).

Calculated values
calculated density	3.744	g cm⁻³
total DFT energy (no corrections)	-5.6654	eV per atom
size of the total moment	0.02	μB per formula unit
SG	No. 12

POSCAR file:
```
Pr2Sc2CBrCl4
1.0
8.538 -1.863 0.000
8.538 1.863 0.000
-1.918 0.000 8.440
Pr Sc C Br Cl
2 2 1 1 4
direct
0.001 0.001 0.294 Pr
0.999 0.999 0.706 Pr
0.364 0.364 0.436 Sc
0.636 0.636 0.564 Sc
0.500 0.500 0.500 C
0.500 0.500 0.000 Br
0.170 0.170 0.777 Cl
0.174 0.174 0.379 Cl
0.826 0.826 0.621 Cl
0.830 0.830 0.223 Cl
```

Entry 2:
Entry from OQMD: a relaxed structure of PaCoIr (GGA-PBE).

Calculated values
calculated density	13.133	g cm⁻³
total DFT energy (no corrections)	-8.4379	eV per atom
size of the total moment	0.05	μB per formula unit
SG	No. 216

POSCAR file:
```
PaCoIr
1.0
0.000 3.124 3.124
3.124 0.000 3.124
3.124 3.124 0.000
Pa Co Ir
1 1 1
direct
0.000 0.000 0.000 Pa
0.750 0.750 0.750 Co
0.250 0.250 0.250 Ir
```

Entry 3:
Entry from OQMD: a relaxed structure of NaLaAsIr (GGA-PBE).

Calculated values
calculated density	8.850	g cm⁻³
total DFT energy (no corrections)	-5.1495	eV per atom
size of the total moment	0.00	μB per formula unit
SG	No. 216

POSCAR file:
```
NaLaAsIr
1.0
0.000 3.427 3.427
3.427 0.000 3.427
3.427 3.427 0.000
Na La As Ir
1 1 1 1
direct
0.000 0.000 0.000 Na
0.250 0.250 0.250 La
0.500 0.500 0.500 As
0.750 0.750 0.750 Ir
```

Entry 4:
Entry from OQMD: a relaxed structure of Ba3NaAu (GGA-PBE).

Calculated values
calculated density	3.866	g cm⁻³
total DFT energy (no corrections)	-2.3721	eV per atom
SG	No. 221

POSCAR file:
```
Ba3NaAu
1.0
6.475 0.000 0.000
0.000 6.475 0.000
0.000 0.000 6.475
Ba Na Au
3 1 1
direct
0.000 0.000 0.500 Ba
0.000 0.500 0.000 Ba
0.500 0.000 0.000 Ba
0.500 0.500 0.500 Na
0.000 0.000 0.000 Au
```

Entry 5:
Entry from OQMD: a relaxed structure of SrAgPb2 (GGA-PBE).

Calculated values
calculated density	8.609	g cm⁻³
total DFT energy (no corrections)	-3.1805	eV per atom
SG	No. 216

POSCAR file:
```
SrAgPb2
1.0
0.000 3.889 3.889
3.889 0.000 3.889
3.889 3.889 0.000
Sr Ag Pb
1 1 2
direct
0.000 0.000 0.000 Sr
0.250 0.250 0.250 Ag
0.500 0.500 0.500 Pb
0.750 0.750 0.750 Pb
```

Entry 6:
Entry from OQMD: a relaxed structure of Tb2InGa2 (GGA-PBE).

Calculated values
calculated density	8.152	g cm⁻³
total DFT energy (no corrections)	-4.2400	eV per atom
size of the total moment	0.03	μB per formula unit
SG	No. 127

POSCAR file:
```
Tb2InGa2
1.0
7.268 0.000 0.000
0.000 7.268 0.000
0.000 0.000 4.412
Tb In Ga
4 2 4
direct
0.173 0.327 0.000 Tb
0.327 0.827 0.000 Tb
0.673 0.173 0.000 Tb
0.827 0.673 0.000 Tb
0.000 0.000 0.500 In
0.500 0.500 0.500 In
0.125 0.625 0.500 Ga
0.375 0.125 0.500 Ga
0.625 0.875 0.500 Ga
0.875 0.375 0.500 Ga
```

Entry 7:
Entry from OQMD: a relaxed structure of Pm3Fe2 (GGA-PBE).

Calculated values
calculated density	6.994	g cm⁻³
total DFT energy (no corrections)	-5.8429	eV per atom
size of the total moment	1.59	μB per formula unit
SG	No. 167

POSCAR file:
```
Pm3Fe2
1.0
3.568 2.060 5.886
-3.568 2.060 5.886
0.000 -4.120 5.886
Pm Fe
6 4
direct
0.075 0.750 0.425 Pm
0.250 0.575 0.925 Pm
0.425 0.075 0.750 Pm
0.575 0.925 0.250 Pm
0.750 0.425 0.075 Pm
0.925 0.250 0.575 Pm
0.172 0.172 0.172 Fe
0.328 0.328 0.328 Fe
0.672 0.672 0.672 Fe
0.828 0.828 0.828 Fe
```

Entry 8:
Entry from OQMD: a relaxed structure of InCu2Sn (GGA-PBE).

Calculated values
calculated density	8.217	g cm⁻³
total DFT energy (no corrections)	-3.3624	eV per atom
SG	No. 221

POSCAR file:
```
InCu2Sn
1.0
6.631 0.000 0.000
0.000 6.631 0.000
0.000 0.000 6.631
In Cu Sn
4 8 4
direct
0.000 0.000 0.000 In
0.000 0.000 0.500 In
0.000 0.500 0.000 In
0.500 0.000 0.000 In
0.246 0.246 0.246 Cu
0.246 0.246 0.754 Cu
0.246 0.754 0.246 Cu
0.246 0.754 0.754 Cu
0.754 0.246 0.246 Cu
0.754 0.246 0.754 Cu
0.754 0.754 0.246 Cu
0.754 0.754 0.754 Cu
0.000 0.500 0.500 Sn
0.500 0.000 0.500 Sn
0.500 0.500 0.000 Sn
0.500 0.500 0.500 Sn
```